No. 1
Below is crystalline La2PmErTm5 at its relaxed geometry, with properties calculated at the PBE-GGA level. Values from VASP.

```
&SYSTEM
  ibrav = 0, nat = 18, ntyp = 4
/
ATOMIC_SPECIES
La 138.91 La.upf
Pm 145.00 Pm.upf
Er 167.26 Er.upf
Tm 168.93 Tm.upf
CELL_PARAMETERS angstrom
8.6317 0.0000 0.0000
0.0000 8.6317 0.0000
-4.3158 -4.3158 7.8103
ATOMIC_POSITIONS angstrom
La 1.0114 3.3044 0.0000
La 5.3273 1.0114 0.0000
La 3.3044 7.6202 0.0000
La 7.6202 5.3273 0.0000
Pm 0.0000 0.0000 3.9052
Pm 4.3158 4.3158 3.9052
Er 0.0000 4.3158 3.9052
Er 4.3158 0.0000 3.9052
Tm 6.7708 2.4550 2.2087
Tm 2.4550 -1.8608 5.6016
Tm -2.4550 1.8608 5.6016
Tm -1.8608 -2.4550 5.6016
Tm 1.8608 2.4550 5.6016
Tm 6.1767 6.7708 2.2087
Tm 2.4550 1.8608 2.2087
Tm 1.8608 6.1767 2.2087
Tm 4.3158 4.3158 0.0000
Tm 0.0000 0.0000 0.0000
```

=====

No. 2
Below is crystalline La2PmEr2Tm2 at its relaxed geometry, with properties calculated at the PBE-GGA level. Values from VASP.

```
&SYSTEM
  ibrav = 0, nat = 7, ntyp = 4
/
ATOMIC_SPECIES
La 138.91 La.upf
Pm 145.00 Pm.upf
Er 167.26 Er.upf
Tm 168.93 Tm.upf
CELL_PARAMETERS angstrom
3.4750 0.0000 0.0000
-1.7375 9.0986 -0.8403
0.0000 -3.4773 7.7600
ATOMIC_POSITIONS angstrom
La 1.7375 -0.5117 6.8744
La 0.0000 6.1330 0.0453
Pm 0.0000 -1.7386 3.8800
Er 1.7375 3.9426 2.4710
Er 0.0000 1.6787 4.4487
Tm 0.0000 5.1703 5.2011
Tm 1.7375 0.4510 1.7186
```

=====

No. 3
Below is crystalline La2PmEr2Tm at its relaxed geometry, with properties calculated at the PBE-GGA level. Values from VASP.

```
&SYSTEM
  ibrav = 0, nat = 12, ntyp = 4
/
ATOMIC_SPECIES
La 138.91 La.upf
Pm 145.00 Pm.upf
Er 167.26 Er.upf
Tm 168.93 Tm.upf
CELL_PARAMETERS angstrom
-1.7565 1.3705 -5.2455
-4.4487 -5.4790 0.0581
-7.0810 5.7907 3.8841
ATOMIC_POSITIONS angstrom
La -0.9135 0.6437 -2.6218
La -2.3557 -0.4243 0.6780
La -10.2170 3.6934 1.2903
La -9.2437 0.6501 3.2652
Pm -3.5731 2.8540 1.9422
Pm -5.7986 0.1154 1.9718
Er -7.0405 3.4073 3.2478
Er -4.3972 1.2161 -1.3057
Er -4.5585 -3.1810 0.6953
Er -8.9549 0.3849 0.0033
Tm -6.7141 3.1114 -0.0347
Tm -6.6375 -1.5097 -1.2677
```

=====

No. 4
Below is crystalline LaPmY2Er5 at its relaxed geometry, with properties calculated at the PBE-GGA level. Values from VASP.

```
&SYSTEM
  ibrav = 0, nat = 18, ntyp = 4
/
ATOMIC_SPECIES
La 138.91 La.upf
Pm 145.00 Pm.upf
Y 88.91 Y.upf
Er 167.26 Er.upf
CELL_PARAMETERS angstrom
-0.3348 -1.0634 8.7431
8.7704 -0.8434 0.2333
-3.5250 8.4166 -3.5539
ATOMIC_POSITIONS angstrom
La 0.3464 3.7316 0.4671
La 4.5642 2.7782 4.9553
Pm 4.7316 3.3099 0.5838
Pm 0.1790 3.1999 4.8387
Y 3.3299 -0.4472 1.1029
Y 0.8103 -0.7527 5.4119
Y 7.6253 -1.1541 3.5644
Y 5.1057 -1.4596 7.8734
Er 2.5074 0.9003 7.2705
Er -1.3879 5.3275 3.2172
Er 2.4032 5.6096 -1.8481
Er -2.0122 5.9353 -1.1754
Er 3.0275 5.0018 2.5446
Er 6.9228 0.5746 6.5979
Er 1.8831 1.5081 2.8779
Er 6.2985 1.1824 2.2053
Er 4.2178 -0.9534 4.4882
Er 0.0000 0.0000 0.0000
```

=====

| no. | formation enthalpy at 0 K (eV per atom) | V (A^3/atom) | theoretical density (g/cm³) |
| --- | --- | --- | --- |
| 1 | 0.26 | 32.3 | 8.2 |
| 2 | 0.15 | 33.6 | 7.7 |
| 3 | 0.08 | 33.3 | 7.7 |
| 4 | 0.28 | 32.6 | 7.3 |